Material: Nb2ReH2
Method: DFT, PBE
State: relaxed

Cell lengths 3.117, 3.117, 11.768 Å; angles 90.00, 90.00, 90.00 degrees
Space group I4/mmm (No. 139)
Unique sites:
1 Nb 0.000 0.000 0.140
2 Re 0.000 0.000 0.500
3 H 0.000 0.500 0.250

Properties
spin magnetization: 0.000 μB per formula unit
electronic total energy: -8.063 eV per atom
ρ: 10.87 g/cm³
crystal system: tetragonal

Material: NbHS3
Method: DFT, PBE
State: relaxed

Cell lengths 3.407, 13.183, 7.668 Å; angles 90.00, 90.00, 90.00 degrees
Space group Cmc2_1 (No. 36)
Unique sites:
1 Nb 0.000 0.239 0.000
2 H 0.000 0.442 0.345
3 S 0.000 0.165 0.321
4 S 0.000 0.167 0.681
5 S 0.000 0.409 0.514

Properties
spin magnetization: 0.000 μB per formula unit
electronic total energy: -5.819 eV per atom
ρ: 3.67 g/cm³
crystal system: orthorhombic

Material: NbTeHS
Method: DFT, PBE
State: relaxed

Cell lengths 6.014, 3.473, 7.254 Å; angles 90.00, 106.36, 90.00 degrees
Space group Cm (No. 8)
Unique sites:
1 Nb 0.000 0.000 0.000
2 Te 0.068 0.500 0.708
3 H 0.324 0.000 0.974
4 S 0.243 0.500 0.223

Properties
spin magnetization: 0.003 μB per formula unit
electronic total energy: -5.824 eV per atom
ρ: 5.79 g/cm³
crystal system: monoclinic

Material: ScNbH4
Method: DFT, PBE
State: relaxed

Cell lengths 3.321, 3.321, 4.467 Å; angles 90.00, 90.00, 90.00 degrees
Space group P4/mmm (No. 123)
Unique sites:
1 Sc 0.000 0.000 0.000
2 Nb 0.500 0.500 0.500
3 H 0.000 0.500 0.265

Properties
spin magnetization: 0.002 μB per formula unit
electronic total energy: -5.436 eV per atom
ρ: 4.78 g/cm³
crystal system: tetragonal

Material: NbH3Se4
Method: DFT, PBE
State: relaxed

Cell lengths 6.360, 6.360, 6.360 Å; angles 90.00, 90.00, 90.00 degrees
Space group I-43m (No. 217)
Unique sites:
1 Nb 0.000 0.000 0.000
2 H 0.000 0.000 0.500
3 Se 0.223 0.223 0.777

Properties
spin magnetization: 0.019 μB per formula unit
electronic total energy: -3.504 eV per atom
ρ: 5.32 g/cm³
crystal system: cubic

Material: Ta3NbH2
Method: DFT, PBE
State: relaxed

Cell lengths 3.411, 4.798, 4.778 Å; angles 90.00, 90.16, 90.00 degrees
Space group P2 (No. 3)
Unique sites:
1 Ta 0.000 0.000 0.000
2 Ta 0.000 0.468 0.500
3 Ta 0.500 0.471 0.000
4 Nb 0.500 0.000 0.500
5 H 0.250 0.734 0.750

Properties
spin magnetization: 0.000 μB per formula unit
electronic total energy: -8.890 eV per atom
ρ: 13.54 g/cm³
crystal system: monoclinic

Material: TaNbH4
Method: DFT, PBE
State: relaxed

Cell lengths 3.200, 3.200, 4.529 Å; angles 90.00, 90.00, 90.00 degrees
Space group P4/mmm (No. 123)
Unique sites:
1 Ta 0.000 0.000 0.000
2 Nb 0.500 0.500 0.500
3 H 0.000 0.500 0.248

Properties
spin magnetization: 0.001 μB per formula unit
electronic total energy: -6.081 eV per atom
ρ: 9.95 g/cm³
crystal system: tetragonal

Material: Ta2NbH6
Method: DFT, PBE
State: relaxed

Cell lengths 3.196, 4.543, 9.557 Å; angles 90.00, 90.00, 90.00 degrees
Space group Immm (No. 71)
Unique sites:
1 Ta 0.000 0.000 0.167
2 Nb 0.000 0.000 0.500
3 H 0.000 0.246 0.000
4 H 0.000 0.253 0.332

Properties
spin magnetization: 0.000 μB per formula unit
electronic total energy: -6.156 eV per atom
ρ: 11.03 g/cm³
crystal system: orthorhombic